{"formula": "CaBe2Se", "functional": "GGA-PBE", "state": "optimized geometry", "sg": "Imm2", "mass_density_g_cm3": 2.94, "e_form_raw_ev_per_atom": -0.0238, "cell": [[-3.7052, 1.6265, 2.8003], [2.6167, -1.3819, 3.9317], [0.5502, 3.4214, -3.4938]], "species": ["Be", "Be", "Ca", "Se"], "frac_coords": [[0.9800, 0.9800, 0.0000], [0.8343, 0.3343, 0.5000], [0.5212, 0.5212, 0.0000], [0.1645, 0.6645, 0.5000]]}

***

{"formula": "CaBe2Se", "functional": "GGA-PBE", "state": "optimized geometry", "sg": "Fmmm", "mass_density_g_cm3": 2.82, "e_form_raw_ev_per_atom": 0.1589, "cell": [[3.8519, -0.0019, -0.0053], [-1.9799, 5.7827, 0.0211], [-0.1078, 1.2695, 3.6336]], "species": ["Be", "Be", "Ca", "Se"], "frac_coords": [[0.0000, 0.0000, 0.0000], [0.5000, 0.0000, 0.5000], [0.0000, 0.5000, 0.5000], [0.5000, 0.5000, 0.0000]]}

***

{"formula": "CaBeSe2", "functional": "GGA-PBE", "state": "optimized geometry", "sg": "Cm", "mass_density_g_cm3": 3.49, "e_form_raw_ev_per_atom": -1.2027, "cell": [[-4.8937, -0.7037, 4.2852], [-3.5304, -4.1066, 3.6712], [3.0973, 0.7308, 2.8269]], "species": ["Be", "Ca", "Se", "Se"], "frac_coords": [[0.5467, 0.5467, 0.4229], [0.2744, 0.2744, 0.1819], [0.9711, 0.9711, 0.2395], [0.7078, 0.7078, 0.6557]]}

***

{"formula": "CaBeSe2", "functional": "GGA-PBE", "state": "optimized geometry", "sg": "Cmmm", "mass_density_g_cm3": 2.95, "e_form_raw_ev_per_atom": -0.7578, "cell": [[-2.2395, -2.9680, -2.9123], [4.5196, 1.0776, 0.8475], [0.2918, -5.2777, 5.1542]], "species": ["Be", "Ca", "Se", "Se"], "frac_coords": [[0.5000, 0.5000, 0.2500], [0.5000, 0.5000, 0.7500], [0.0000, 0.0000, 0.0401], [0.0000, 0.0000, 0.4599]]}